First-principles (GGA-PBE) data for a geometry-optimized SrTaIn structure, as listed in Alexandria via LeMat-Bulk.

The structure in POSCAR format:
```
SrTaIn
1.0
3.2821 0.0000 0.0000
-1.6410 2.8423 0.0000
0.0000 0.0000 8.1497
Sr Ta In
1 1 1
Cartesian
0.0000 0.0000 0.0000 Sr
0.0000 1.8949 2.7729 Ta
1.6410 0.9474 5.1757 In
```

Values from the calculation:
For the volume, the calculation gives 76 Å³/f.u. The offset from the most stable computed form comes out at 42 kJ/mol of formula units. The calculated formation energy is 1.74 eV per formula unit.

First-principles (GGA-PBE) data for a geometry-optimized SrTa2In structure, as listed in Alexandria via LeMat-Bulk.

The structure in POSCAR format:
```
SrTa2In
1.0
3.0243 0.0000 0.0000
0.0000 3.0243 0.0000
0.0000 0.0000 10.0320
Sr Ta In
1 2 1
Cartesian
0.0000 0.0000 0.0000 Sr
0.0000 0.0000 5.0198 Ta
1.5122 1.5122 2.9096 Ta
1.5122 1.5122 7.2711 In
```

Values from the calculation:
For the volume, the calculation gives 92 Å³/f.u. The calculated formation energy is 1.65 eV per formula unit.

First-principles (GGA-PBE) data for a geometry-optimized SrTa2In structure, as listed in Alexandria via LeMat-Bulk.

The structure in POSCAR format:
```
SrTa2In
1.0
3.1058 0.0000 0.0000
-1.5529 2.6897 0.0000
0.0000 0.0000 32.6940
Sr Ta In
3 6 3
Cartesian
0.0000 0.0000 0.0000 Sr
0.0000 1.7931 21.7960 Sr
1.5529 0.8966 10.8980 Sr
0.0000 0.0000 7.9320 Ta
0.0000 0.0000 24.7620 Ta
0.0000 1.7931 13.8640 Ta
0.0000 1.7931 29.7279 Ta
1.5529 0.8966 2.9660 Ta
1.5529 0.8966 18.8300 Ta
0.0000 0.0000 16.3470 In
0.0000 1.7931 5.4490 In
1.5529 0.8966 27.2450 In
```

Values from the calculation:
For the volume, the calculation gives 91 Å³/f.u. The calculated formation energy is 3.05 eV per formula unit.

What is the formula in the third record? SrTa2In

Which value of calculated formation energy does entry 3 give? 3.05 eV per formula unit

What is the calculated formation energy in the third record? 3.05 eV per formula unit

The lowest calculated formation energy belongs to which entry? number 2